(1)
Density functional theory data (PBE) for a relaxed structure of NbSbPd14.

Properties
- Total DFT energy (no corrections): -5.6572 eV per atom
- Raw formation energy: -0.226 eV per atom
- Fermi-level density of states: 17.8 states/eV/f.u.
- SG: P4/mmm

The structure in extended XYZ format:
```
16
Lattice="-0.440 3.759 4.258 -4.143 -3.133 2.339 5.297 -3.976 4.057" Properties=species:S:1:pos:R:3 pbc="T T T"
Pd -1.938 2.114 4.603
Pd 0.784 -0.932 1.834
Pd 3.173 -0.989 5.988
Pd -1.142 -3.320 5.672
Pd -4.010 0.548 5.772
Pd -1.719 0.235 2.474
Pd 0.561 0.971 3.988
Pd 1.076 -2.575 7.171
Pd 1.298 -4.477 5.017
Pd 3.395 -2.892 3.834
Pd -1.535 -0.615 5.171
Pd -1.313 -2.517 3.017
Pd 0.710 0.126 6.631
Pd -3.790 -1.332 3.643
Sb 0.930 -1.753 4.502
Nb -1.361 -1.440 7.801
```

(2)
Density functional theory data (PBE) for a relaxed structure of TaCI.

Properties
- Total DFT energy (no corrections): -7.7753 eV per atom
- Raw formation energy: -0.233 eV per atom
- SG: P2_1/m

The structure in extended XYZ format:
```
12
Lattice="-3.284 -2.684 0.091 4.260 -5.115 2.920 -2.396 3.238 9.011" Properties=species:S:1:pos:R:3 pbc="T T T"
I -2.639 -1.694 3.145
I 1.219 -2.866 8.878
I -0.912 -0.310 7.417
I -0.508 -4.251 4.605
Ta 1.102 -6.268 3.247
Ta -2.522 1.707 8.775
Ta -1.028 -3.711 1.787
Ta -0.392 -0.850 10.236
C 0.677 -2.454 1.499
C 2.807 -5.012 2.959
C -4.227 0.451 9.064
C -2.097 -2.106 10.524
```

(3)
Density functional theory data (PBE) for a relaxed structure of W2AuSe.

Properties
- Total DFT energy (no corrections): -7.6759 eV per atom
- Raw formation energy: 0.491 eV per atom
- Fermi-level density of states: 2.8 states/eV/f.u.
- SG: R-3m

The structure in extended XYZ format:
```
4
Lattice="8.849 -0.014 -0.009 8.356 2.913 -0.009 8.356 1.408 2.550" Properties=species:S:1:pos:R:3 pbc="T T T"
Au 6.390 1.077 0.633
W 12.642 2.130 1.253
W 0.139 0.023 0.014
Se 19.170 3.230 1.900
```

(4)
Density functional theory data (PBE) for a relaxed structure of TmAg2Au8.

Properties
- Total DFT energy (no corrections): -3.5869 eV per atom
- Fermi-level density of states: 4.5 states/eV/f.u.
- SG: C2/m

The structure in extended XYZ format:
```
11
Lattice="-3.016 -2.862 -0.347 0.788 -1.608 6.416 -3.736 6.965 0.104" Properties=species:S:1:pos:R:3 pbc="T T T"
Au -6.058 3.157 1.531
Au -4.661 1.264 5.007
Au -2.128 -1.129 2.726
Au -2.705 -0.877 5.669
Au -3.259 3.373 0.504
Au 0.094 -0.661 4.642
Au -1.303 1.231 1.166
Au -3.836 3.625 3.447
Ag -4.108 1.029 2.139
Ag -1.856 1.467 4.034
Tm -1.508 -1.431 -0.173
```

(5)
Density functional theory data (PBE) for a relaxed structure of MnPBr2.

Properties
- Distance to the lowest polymorph of the same formula: 215 meV per atom
- Total DFT energy (no corrections): -4.4791 eV per atom
- Raw formation energy: 0.002 eV per atom
- Fermi-level density of states: 1.7 states/eV/f.u.
- SG: I-42d

The structure in extended XYZ format:
```
8
Lattice="-0.894 -7.871 -5.714 -2.448 -5.371 7.781 -3.823 -6.131 0.695" Properties=species:S:1:pos:R:3 pbc="T T T"
Br -3.703 -8.648 -0.030
Br -3.760 -11.729 -4.124
Br -1.973 -8.465 -3.398
Br -3.339 -12.402 -0.417
P -3.971 -9.061 4.755
P -1.671 -6.621 1.034
Mn 0.000 0.000 0.000
Mn -3.194 -10.311 -1.992
```

(6)
Density functional theory data (PBE) for a relaxed structure of Pa2TiTcN5.

Properties
- Total DFT energy (no corrections): -10.0682 eV per atom
- Raw formation energy: -1.304 eV per atom
- Fermi-level density of states: 0.1 states/eV/f.u.
- SG: Cmc2_1

The structure in extended XYZ format:
```
18
Lattice="3.444 0.000 0.000 -1.722 6.525 0.000 0.000 0.000 9.528" Properties=species:S:1:pos:R:3 pbc="T T T"
N 1.722 0.080 2.666
N 0.000 3.757 6.223
N 0.000 4.073 3.443
N 1.722 5.854 5.397
N 0.000 6.446 7.430
N 1.722 2.452 8.207
N 0.000 4.901 0.084
N 1.722 1.624 4.848
N 0.000 0.671 0.633
N 1.722 2.768 1.459
Ti 0.000 5.930 4.502
Ti 1.722 0.595 9.266
Pa 1.722 5.019 1.738
Pa 0.000 1.864 2.832
Pa 0.000 1.507 6.502
Pa 1.722 4.661 7.596
Tc 0.000 2.724 0.023
Tc 1.722 3.801 4.787
```

(7)
Density functional theory data (PBE) for a relaxed structure of PmHoZr.

Properties
- Distance to the lowest polymorph of the same formula: 116 meV per atom
- Total DFT energy (no corrections): -5.7477 eV per atom
- Fermi-level density of states: 5.3 states/eV/f.u.
- SG: C2/m

The structure in extended XYZ format:
```
6
Lattice="-1.738 -1.915 5.102 -2.514 -4.260 2.872 6.457 -7.567 5.713" Properties=species:S:1:pos:R:3 pbc="T T T"
Pm 2.414 -6.079 5.554
Pm 2.825 -8.465 7.921
Ho 5.660 -7.624 6.050
Ho -0.421 -6.920 7.425
Zr -0.627 -4.585 5.041
Zr -0.590 -2.391 2.720
```

(8)
Density functional theory data (PBE) for a relaxed structure of CaNi2Te.

Properties
- Total DFT energy (no corrections): -4.2541 eV per atom
- Raw formation energy: -0.078 eV per atom
- Fermi-level density of states: 3.1 states/eV/f.u.
- SG: P4mm

The structure in extended XYZ format:
```
4
Lattice="-2.834 1.410 -1.249 -1.570 -0.521 2.974 2.026 5.942 2.110" Properties=species:S:1:pos:R:3 pbc="T T T"
Te 0.856 2.511 0.892
Ni -1.731 1.826 1.353
Ni 0.106 0.312 0.111
Ca -0.597 5.153 2.535
```

(9)
Density functional theory data (PBE) for a relaxed structure of MnCoCuH2.

Properties
- Total DFT energy (no corrections): -4.7825 eV per atom
- Fermi-level density of states: 4.1 states/eV/f.u.
- SG: P4/mmm

The structure in extended XYZ format:
```
5
Lattice="-2.233 -1.606 -1.902 3.309 -0.818 -3.196 0.766 -2.874 1.528" Properties=species:S:1:pos:R:3 pbc="T T T"
Cu 0.921 -2.649 -1.785
H -1.117 -0.803 -0.951
H 0.383 -1.437 0.764
Co 1.655 -0.409 -1.598
Mn 0.000 0.000 0.000
```

(10)
Density functional theory data (PBE) for a relaxed structure of KYBe3.

Properties
- Distance to the lowest polymorph of the same formula: 0 meV per atom
- Total DFT energy (no corrections): -2.2871 eV per atom
- Fermi-level density of states: 5.2 states/eV/f.u.
- SG: Pm-3m

The structure in extended XYZ format:
```
5
Lattice="5.422 0.000 0.000 0.000 5.422 0.000 0.000 0.000 5.422" Properties=species:S:1:pos:R:3 pbc="T T T"
Be 0.000 2.711 0.000
Be 2.711 0.000 0.000
Be 0.000 0.000 2.711
K 2.711 2.711 2.711
Y 0.000 0.000 0.000
```

(11)
Density functional theory data (PBE) for a relaxed structure of Tm3S4Cl.

Properties
- Total DFT energy (no corrections): -6.0346 eV per atom
- Raw formation energy: -2.063 eV per atom
- Fermi-level density of states: 0.0 states/eV/f.u.
- SG: Cc

The structure in extended XYZ format:
```
16
Lattice="6.805 0.000 0.000 -3.402 6.303 -2.482 0.000 0.013 9.599" Properties=species:S:1:pos:R:3 pbc="T T T"
S 2.253 4.809 -1.627
S 1.100 1.336 8.457
S 5.705 1.330 3.657
S 4.511 2.781 0.306
S 2.294 2.788 5.106
S 1.323 3.802 1.770
S -1.323 3.808 6.570
S -2.253 4.815 3.173
Tm 3.329 5.276 0.775
Tm 3.464 2.334 2.764
Tm 3.475 5.282 5.575
Tm 0.038 3.628 -0.651
Tm -0.038 3.634 4.148
Tm 3.341 2.341 7.563
Cl 1.059 6.199 4.660
Cl -1.059 6.192 -0.140
```

(12)
Density functional theory data (PBE) for a relaxed structure of TbPmHo2Sc2.

Properties
- Total DFT energy (no corrections): -5.1218 eV per atom
- Fermi-level density of states: 10.7 states/eV/f.u.
- SG: Pnnm

The structure in extended XYZ format:
```
12
Lattice="-1.188 -2.298 4.836 -4.560 -7.052 -4.472 5.756 -3.549 -0.272" Properties=species:S:1:pos:R:3 pbc="T T T"
Ho 2.956 -4.982 1.469
Ho -2.949 -7.918 -1.378
Ho -0.088 -3.234 -1.559
Ho 1.284 -7.368 -3.186
Sc 2.798 -5.015 -1.696
Sc -0.080 -9.688 -1.514
Sc 0.087 -3.212 1.605
Sc -1.602 -5.587 -3.049
Pm 0.000 0.000 0.000
Pm 0.003 -6.450 0.046
Tb -2.874 -4.675 0.182
Tb 2.878 -1.775 -0.136
```

Repeat the third record exactly.
Density functional theory data (PBE) for a relaxed structure of W2AuSe.

Properties
- Total DFT energy (no corrections): -7.6759 eV per atom
- Raw formation energy: 0.491 eV per atom
- Fermi-level density of states: 2.8 states/eV/f.u.
- SG: R-3m

The structure in extended XYZ format:
```
4
Lattice="8.849 -0.014 -0.009 8.356 2.913 -0.009 8.356 1.408 2.550" Properties=species:S:1:pos:R:3 pbc="T T T"
Au 6.390 1.077 0.633
W 12.642 2.130 1.253
W 0.139 0.023 0.014
Se 19.170 3.230 1.900
```